No. 1
A relaxed Tb2Pr5NdY crystal. Source: the Alexandria database, functional PBE-GGA.

abc: 5.7219 20.7413 10.7972
angles: 90.00 90.00 90.00
Last column: nearest neighbours and their distance in Å.
Space group Cmc2_1 (No. 36)
One atom of each set of equivalent atoms:
Tb 0.0000 0.1117 0.0000 [4 per cell]  1 Nd 3.47, 7 Pr 3.52-3.82, 2 Y 3.76
Tb 0.0000 0.1162 0.5766 [4 per cell]  8 Pr 3.38-3.66, 1 Nd 3.73
Pr 0.0000 0.0149 0.2824 [4 per cell]  2 Y 3.34, 3 Tb 3.51-3.65
Pr 0.0000 0.2794 0.5730 [4 per cell]  1 Y 3.12, 1 Tb 3.38, 2 Pr 3.45
Pr 0.0000 0.2952 0.9662 [4 per cell]  2 Pr 3.45, 1 Y 3.52, 3 Nd 3.55-3.84, 3 Tb 3.60-3.82
Pr 0.0000 0.3893 0.2876 [4 per cell]  6 Pr 3.57-3.98, 4 Tb 3.66-3.67, 1 Nd 3.91
Pr 0.0000 0.4807 0.0069 [4 per cell]  2 Y 3.28-3.42, 2 Pr 3.57-3.59, 2 Tb 3.58
Nd 0.0000 0.2009 0.2722 [4 per cell]  2 Tb 3.47-3.73, 7 Pr 3.55-3.86, 2 Y 3.68
Y 0.0000 0.4079 0.7228 [4 per cell]  5 Pr 3.12-3.42

Results
The formation enthalpy at 0 K comes out at 0.142 eV per atom. Its spin magnetization is 0.0 μB per cell.


No. 2
A relaxed Tb2PrNdY5 crystal. Source: the Alexandria database, functional PBE-GGA.

abc: 8.8480 8.8480 15.2926
angles: 90.00 90.00 90.00
Last column: nearest neighbours and their distance in Å.
Space group I4/mcm (No. 140)
One atom of each set of equivalent atoms:
Tb 0.1155 0.3845 0.0000 [8 per cell]  1 Tb 2.89, 2 Y 3.04
Pr 0.0000 0.0000 0.2500 [4 per cell]  10 Y 3.65-3.82
Nd 0.0000 0.5000 0.2500 [4 per cell]  4 Y 3.11
Y 0.0000 0.0000 0.0000 [4 per cell]  4 Tb 3.55, 8 Y 3.78, 2 Pr 3.82
Y 0.2040 0.2960 0.3667 [16 per cell]  1 Tb 3.04, 1 Nd 3.11

Results
The formation enthalpy at 0 K comes out at 0.254 eV per atom. Its spin magnetization is 0.0 μB per cell.


No. 3
A relaxed TbPrNd5Y2 crystal. Source: the Alexandria database, functional PBE-GGA.

abc: 5.7198 20.4824 10.8035
angles: 90.00 90.00 90.00
Last column: nearest neighbours and their distance in Å.
Space group Cmc2_1 (No. 36)
One atom of each set of equivalent atoms:
Tb 0.0000 0.0888 0.0000 [4 per cell]  5 Nd 3.09-3.38
Pr 0.0000 0.2957 0.5508 [4 per cell]  2 Y 3.51-3.83, 8 Nd 3.55-3.91, 2 Tb 3.75
Nd 0.0000 0.0219 0.2862 [4 per cell]  2 Tb 3.24-3.38, 2 Nd 3.49-3.51, 2 Y 3.57
Nd 0.0000 0.1050 0.5701 [4 per cell]  5 Nd 3.49-3.81, 4 Y 3.62-3.65
Nd 0.0000 0.2043 0.2447 [4 per cell]  3 Nd 3.47-3.76, 3 Pr 3.55-3.80, 1 Tb 3.55, 3 Y 3.61-3.83
Nd 0.0000 0.2173 0.8498 [4 per cell]  1 Tb 3.09, 1 Y 3.38
Nd 0.0000 0.4818 0.5677 [4 per cell]  2 Tb 3.29, 3 Y 3.48-3.63
Y 0.0000 0.3821 0.8656 [4 per cell]  8 Nd 3.38-3.62
Y 0.0000 0.3903 0.2798 [4 per cell]  7 Nd 3.48-3.83, 1 Pr 3.51, 2 Tb 3.74

Results
The formation enthalpy at 0 K comes out at 0.138 eV per atom. Its spin magnetization is 0.0 μB per cell.


No. 4
A relaxed Tb5PrNd2Y crystal. Source: the Alexandria database, functional PBE-GGA.

abc: 8.7967 8.7967 15.6199
angles: 90.00 90.00 90.00
Last column: nearest neighbours and their distance in Å.
Space group I4/mcm (No. 140)
One atom of each set of equivalent atoms:
Tb 0.0000 0.0000 0.0000 [4 per cell]  4 Nd 3.52, 8 Tb 3.81, 2 Pr 3.90
Tb 0.2106 0.2894 0.1374 [16 per cell]  1 Nd 3.04, 1 Y 3.16
Pr 0.0000 0.0000 0.2500 [4 per cell]  10 Tb 3.61-3.90
Nd 0.1169 0.3831 0.5000 [8 per cell]  1 Nd 2.91, 2 Tb 3.04
Y 0.0000 0.5000 0.2500 [4 per cell]  4 Tb 3.16

Results
The formation enthalpy at 0 K comes out at 0.261 eV per atom. Its spin magnetization is 0.0 μB per cell.


No. 5
A relaxed Tb6Pr2Nd3Y crystal. Source: the Alexandria database, functional PBE-GGA.

abc: 6.2766 10.8683 11.9545
angles: 90.00 100.05 90.00
Last column: nearest neighbours and their distance in Å.
Space group C2/m (No. 12)
One atom of each set of equivalent atoms:
Tb 0.2492 0.0000 0.2498 [4 per cell]  3 Nd 3.61, 1 Y 3.61, 2 Pr 3.61, 6 Tb 3.62-3.63
Tb 0.2502 0.1666 0.7499 [8 per cell]  2 Pr 3.61, 1 Y 3.61, 3 Nd 3.61, 6 Tb 3.62-3.63
Pr 0.0000 0.3335 0.5000 [4 per cell]  6 Tb 3.61, 3 Pr 3.62-3.63, 3 Y 3.62-3.63
Nd 0.0000 0.1667 0.0000 [4 per cell]  6 Tb 3.61, 6 Nd 3.62
Nd 0.0000 0.5000 0.0000 [2 per cell]  6 Tb 3.61, 6 Nd 3.62
Y 0.0000 0.0000 0.5000 [2 per cell]  6 Tb 3.61, 6 Pr 3.62-3.63

Results
The formation enthalpy at 0 K comes out at 0.012 eV per atom. Its spin magnetization is 0.0 μB per cell.


No. 6
A relaxed TbPr6NdY2 crystal. Source: the Alexandria database, functional PBE-GGA.

abc: 9.4477 15.4307 9.7557
angles: 90.00 97.28 90.00
Last column: nearest neighbours and their distance in Å.
Space group C2/c (No. 15)
One atom of each set of equivalent atoms:
Tb 0.0000 0.0328 0.2500 [4 per cell]  4 Y 3.44-3.49, 6 Pr 3.58-3.81
Pr 0.0645 0.1738 0.9429 [8 per cell]  7 Pr 3.49-3.82, 2 Y 3.53-3.88, 2 Tb 3.71-3.81
Pr 0.0944 0.3902 0.1180 [8 per cell]  3 Pr 3.31-3.49, 3 Y 3.38-3.55, 2 Nd 3.54-3.60
Pr 0.2117 0.2240 0.3147 [8 per cell]  2 Pr 3.31-3.68, 1 Nd 3.52, 1 Y 3.55, 1 Tb 3.58
Nd 0.0000 0.4074 0.7500 [4 per cell]  6 Pr 3.52-3.60, 2 Y 3.62
Y 0.2442 0.0465 0.5487 [8 per cell]  5 Pr 3.38-3.55, 2 Tb 3.44-3.49, 1 Nd 3.62

Results
The formation enthalpy at 0 K comes out at 0.114 eV per atom. Its spin magnetization is 0.0 μB per cell.


No. 7
A relaxed TbPr5Nd2Y crystal. Source: the Alexandria database, functional PBE-GGA.

abc: 8.7432 8.7432 16.7968
angles: 90.00 90.00 90.00
Last column: nearest neighbours and their distance in Å.
Space group I4/mcm (No. 140)
One atom of each set of equivalent atoms:
Tb 0.0000 0.0000 0.2500 [4 per cell]  8 Pr 3.60
Pr 0.0000 0.0000 0.0000 [4 per cell]  4 Nd 3.48
Pr 0.2174 0.2826 0.1430 [16 per cell]  1 Nd 3.12, 1 Y 3.23
Nd 0.1210 0.3790 0.5000 [8 per cell]  1 Nd 2.99, 2 Pr 3.12
Y 0.0000 0.5000 0.2500 [4 per cell]  4 Pr 3.23

Results
The formation enthalpy at 0 K comes out at 0.270 eV per atom. Its spin magnetization is 0.0 μB per cell.


No. 8
A relaxed Tb2Pr2NdY crystal. Source: the Alexandria database, functional PBE-GGA.

abc: 7.1287 5.7378 9.9330
angles: 90.00 90.00 90.00
Last column: nearest neighbours and their distance in Å.
Space group Pmma (No. 51)
One atom of each set of equivalent atoms:
Tb 0.2500 0.0000 0.1647 [2 per cell]  2 Nd 3.36, 7 Pr 3.37-3.75
Tb 0.2500 0.5000 0.6680 [2 per cell]  3 Nd 3.26-3.57, 2 Pr 3.27
Pr 0.0000 0.5000 0.0000 [2 per cell]  6 Pr 3.56-3.80, 6 Tb 3.75, 2 Nd 3.82
Pr 0.2500 0.0000 0.8253 [2 per cell]  5 Tb 3.27-3.57
Nd 0.2500 0.5000 0.3399 [2 per cell]  5 Tb 3.26-3.57
Y 0.0000 0.0000 0.5000 [2 per cell]  2 Y 3.56, 2 Pr 3.69, 4 Nd 3.73, 6 Tb 3.77-3.78

Results
The formation enthalpy at 0 K comes out at 0.055 eV per atom. Its spin magnetization is 0.0 μB per cell.


No. 9
A relaxed TbPr3NdY crystal. Source: the Alexandria database, functional PBE-GGA.

abc: 6.0693 11.3449 12.0789
angles: 90.00 90.00 90.00
Last column: nearest neighbours and their distance in Å.
Space group Cmcm (No. 63)
One atom of each set of equivalent atoms:
Tb 0.0000 0.0122 0.2500 [4 per cell]  2 Y 3.45, 7 Pr 3.52-3.67
Pr 0.0000 0.1662 0.5115 [8 per cell]  1 Y 3.51, 2 Tb 3.52-3.61, 3 Nd 3.58-3.79, 4 Pr 3.59-3.78
Pr 0.0000 0.3301 0.2500 [4 per cell]  2 Nd 3.58, 3 Tb 3.61-3.67, 3 Y 3.62-3.71, 2 Pr 3.67
Nd 0.0000 0.5000 0.0000 [4 per cell]  2 Y 3.50, 8 Pr 3.58-3.79
Y 0.0000 0.3433 0.7500 [4 per cell]  2 Tb 3.45, 2 Nd 3.50, 5 Pr 3.51-3.71

Results
The formation enthalpy at 0 K comes out at 0.107 eV per atom. Its spin magnetization is 0.0 μB per cell.


No. 10
A relaxed Tb3Pr6NdY2 crystal. Source: the Alexandria database, functional PBE-GGA.

abc: 6.3428 10.9826 12.0030
angles: 90.00 100.11 90.00
Last column: nearest neighbours and their distance in Å.
Space group C2/m (No. 12)
One atom of each set of equivalent atoms:
Tb 0.0000 0.0000 0.0000 [2 per cell]  6 Pr 3.62, 6 Tb 3.66
Tb 0.0000 0.3332 0.0000 [4 per cell]  6 Pr 3.62, 6 Tb 3.66
Pr 0.2491 0.1667 0.2483 [8 per cell]  3 Tb 3.62, 2 Y 3.65, 1 Nd 3.65, 6 Pr 3.66
Pr 0.2490 0.5000 0.2486 [4 per cell]  3 Tb 3.62, 1 Nd 3.64, 2 Y 3.65, 6 Pr 3.66
Nd 0.0000 0.5000 0.5000 [2 per cell]  6 Pr 3.64-3.65, 6 Y 3.66
Y 0.0000 0.1666 0.5000 [4 per cell]  6 Pr 3.65, 3 Y 3.66, 3 Nd 3.66

Results
The formation enthalpy at 0 K comes out at 0.010 eV per atom. Its spin magnetization is 0.0 μB per cell.


No. 11
A relaxed Tb2Pr6NdY crystal. Source: the Alexandria database, functional PBE-GGA.

abc: 9.3479 15.4812 9.8324
angles: 90.00 97.82 90.00
Last column: nearest neighbours and their distance in Å.
Space group C2/c (No. 15)
One atom of each set of equivalent atoms:
Tb 0.2488 0.0487 0.0457 [8 per cell]  5 Pr 3.34-3.56, 2 Nd 3.47-3.49, 1 Y 3.59
Pr 0.0638 0.1788 0.4457 [8 per cell]  7 Pr 3.49-3.87, 1 Tb 3.56, 1 Nd 3.72
Pr 0.0980 0.3925 0.6190 [8 per cell]  4 Pr 3.33-3.71, 3 Tb 3.34-3.53, 2 Y 3.49-3.63
Pr 0.2121 0.2233 0.8140 [8 per cell]  3 Pr 3.33-3.72, 1 Y 3.51, 1 Tb 3.52, 1 Nd 3.65
Nd 0.0000 0.0261 0.7500 [4 per cell]  4 Tb 3.47-3.49, 4 Pr 3.65-3.72
Y 0.0000 0.4098 0.2500 [4 per cell]  6 Pr 3.49-3.63, 2 Tb 3.59

Results
The formation enthalpy at 0 K comes out at 0.109 eV per atom. Its spin magnetization is 0.0 μB per cell.


No. 12
A relaxed TbPrNd3Y crystal. Source: the Alexandria database, functional PBE-GGA.

abc: 20.7147 5.8626 6.8521
angles: 90.00 90.75 90.00
Last column: nearest neighbours and their distance in Å.
Space group C2/m (No. 12)
One atom of each set of equivalent atoms:
Tb 0.1434 0.0000 0.4752 [4 per cell]  1 Pr 3.09, 2 Nd 3.22-3.34
Pr 0.1465 0.0000 0.0243 [4 per cell]  1 Tb 3.09, 2 Nd 3.24-3.42
Nd 0.0184 0.0000 0.7487 [4 per cell]  1 Tb 3.22, 1 Pr 3.24, 2 Y 3.33, 2 Nd 3.48-3.54
Nd 0.1593 0.5000 0.7497 [4 per cell]  2 Pr 3.50, 2 Tb 3.50, 4 Nd 3.58-3.86
Nd 0.2198 0.5000 0.2625 [4 per cell]  3 Tb 3.34-3.64, 1 Y 3.35, 3 Pr 3.42-3.67, 2 Nd 3.58-3.71
Y 0.0578 0.5000 0.2610 [4 per cell]  3 Nd 3.33-3.35, 2 Tb 3.72

Results
The formation enthalpy at 0 K comes out at 0.177 eV per atom. Its spin magnetization is 0.0 μB per cell.


No. 13
A relaxed Tb4PrNd2Y2 crystal. Source: the Alexandria database, functional PBE-GGA.

abc: 18.8932 3.6408 9.6657
angles: 90.00 115.72 90.00
Last column: nearest neighbours and their distance in Å.
Space group C2/m (No. 12)
One atom of each set of equivalent atoms:
Tb 0.0191 0.0000 0.3362 [4 per cell]  5 Tb 3.54-3.64, 4 Y 3.54-3.63, 2 Pr 3.60, 1 Nd 3.61
Tb 0.1859 0.5000 0.3367 [4 per cell]  6 Tb 3.54-3.64, 3 Y 3.54-3.64, 2 Nd 3.60, 1 Pr 3.61
Pr 0.0000 0.5000 0.0000 [2 per cell]  6 Tb 3.60-3.61, 4 Nd 3.64, 2 Pr 3.64
Nd 0.1670 0.0000 0.0010 [4 per cell]  3 Tb 3.60-3.61, 3 Y 3.60-3.61, 4 Nd 3.63-3.64, 2 Pr 3.64
Y 0.1471 0.5000 0.6636 [4 per cell]  7 Tb 3.54-3.64, 3 Nd 3.60-3.61, 2 Y 3.64

Results
The formation enthalpy at 0 K comes out at -0.004 eV per atom. Its spin magnetization is 0.0 μB per cell.


No. 14
A relaxed Tb2Pr4NdY2 crystal. Source: the Alexandria database, functional PBE-GGA.

abc: 18.8995 3.6530 8.9384
angles: 90.00 90.07 90.00
Last column: nearest neighbours and their distance in Å.
Space group C2/m (No. 12)
One atom of each set of equivalent atoms:
Tb 0.1113 0.0000 0.3305 [4 per cell]  2 Y 3.62, 1 Nd 3.62, 7 Pr 3.63-3.68, 2 Tb 3.65
Pr 0.0552 0.5000 0.6667 [4 per cell]  5 Pr 3.64-3.66, 4 Tb 3.64-3.67, 2 Nd 3.65, 1 Y 3.67
Pr 0.2231 0.0000 0.6684 [4 per cell]  3 Y 3.60-3.66, 3 Tb 3.63-3.68, 6 Pr 3.65-3.67
Nd 0.0000 0.0000 0.0000 [2 per cell]  2 Tb 3.62, 4 Pr 3.65, 4 Y 3.65, 2 Nd 3.65
Y 0.1671 0.5000 0.0022 [4 per cell]  4 Pr 3.60-3.67, 2 Tb 3.62, 4 Y 3.63-3.65, 2 Nd 3.65

Results
The formation enthalpy at 0 K comes out at 0.015 eV per atom. Its spin magnetization is 0.0 μB per cell.


No. 15
A relaxed Tb2PrNd2Y crystal. Source: the Alexandria database, functional PBE-GGA.

abc: 7.1074 9.9428 5.7130
angles: 90.00 90.00 90.00
Last column: nearest neighbours and their distance in Å.
Space group Pnnm (No. 58)
One atom of each set of equivalent atoms:
Tb 0.2492 0.1671 0.0000 [4 per cell]  5 Nd 3.30-3.57
Pr 0.0000 0.5000 0.0000 [2 per cell]  2 Y 3.55, 6 Tb 3.75, 6 Nd 3.75-3.76
Nd 0.2485 0.8334 0.0000 [4 per cell]  5 Tb 3.30-3.57
Y 0.0000 0.0000 0.5000 [2 per cell]  2 Pr 3.55, 6 Nd 3.74-3.77, 6 Tb 3.75-3.76

Results
The formation enthalpy at 0 K comes out at 0.056 eV per atom. Its spin magnetization is 0.0 μB per cell.


No. 16
A relaxed Tb6Pr2NdY3 crystal. Source: the Alexandria database, functional PBE-GGA.

abc: 6.2413 10.8061 11.9239
angles: 90.00 100.02 90.00
Last column: nearest neighbours and their distance in Å.
Space group C2/m (No. 12)
One atom of each set of equivalent atoms:
Tb 0.2483 0.0000 0.2466 [4 per cell]  3 Y 3.56-3.57, 6 Tb 3.60, 1 Nd 3.63, 2 Pr 3.63
Tb 0.2486 0.3334 0.2466 [8 per cell]  3 Y 3.56-3.57, 6 Tb 3.60, 2 Pr 3.63, 1 Nd 3.63
Pr 0.0000 0.3334 0.5000 [4 per cell]  3 Pr 3.60, 3 Nd 3.60, 6 Tb 3.63
Nd 0.0000 0.0000 0.5000 [2 per cell]  6 Pr 3.60, 6 Tb 3.63
Y 0.0000 0.1666 0.0000 [4 per cell]  6 Tb 3.56-3.57, 6 Y 3.60
Y 0.0000 0.5000 0.0000 [2 per cell]  6 Tb 3.56-3.57, 6 Y 3.60

Results
The formation enthalpy at 0 K comes out at 0.018 eV per atom. Its spin magnetization is 0.0 μB per cell.


No. 17
A relaxed Tb2PrNd6Y crystal. Source: the Alexandria database, functional PBE-GGA.

abc: 9.3017 15.4153 9.7892
angles: 90.00 97.54 90.00
Last column: nearest neighbours and their distance in Å.
Space group C2/c (No. 15)
One atom of each set of equivalent atoms:
Tb 0.2505 0.0495 0.0457 [8 per cell]  5 Nd 3.33-3.56, 2 Pr 3.47-3.49, 1 Y 3.58
Pr 0.0000 0.0262 0.7500 [4 per cell]  4 Tb 3.47-3.49, 4 Nd 3.65-3.72
Nd 0.0637 0.1805 0.4453 [8 per cell]  7 Nd 3.47-3.85, 1 Tb 3.56, 1 Pr 3.72
Nd 0.0984 0.3919 0.6194 [8 per cell]  4 Nd 3.30-3.67, 3 Tb 3.33-3.51, 2 Y 3.49-3.62
Nd 0.2113 0.2245 0.8154 [8 per cell]  3 Nd 3.30-3.68, 1 Tb 3.50, 1 Y 3.51, 1 Pr 3.65
Y 0.0000 0.4095 0.2500 [4 per cell]  6 Nd 3.49-3.62, 2 Tb 3.58

Results
The formation enthalpy at 0 K comes out at 0.110 eV per atom. Its spin magnetization is 0.0 μB per cell.


No. 18
A relaxed TbPr6Nd3Y2 crystal. Source: the Alexandria database, functional PBE-GGA.

abc: 6.3744 11.0475 12.0966
angles: 90.00 100.12 90.00
Last column: nearest neighbours and their distance in Å.
Space group C2/m (No. 12)
One atom of each set of equivalent atoms:
Tb 0.0000 0.0000 0.0000 [2 per cell]  6 Pr 3.62, 6 Y 3.68
Pr 0.2490 0.1663 0.2468 [8 per cell]  1 Tb 3.62, 2 Y 3.63, 6 Pr 3.67-3.69, 3 Nd 3.69
Pr 0.2500 0.0000 0.7534 [4 per cell]  1 Tb 3.62, 2 Y 3.63, 6 Pr 3.67-3.69, 3 Nd 3.69
Nd 0.0000 0.1665 0.5000 [4 per cell]  6 Nd 3.68, 6 Pr 3.69
Nd 0.0000 0.5000 0.5000 [2 per cell]  6 Nd 3.68, 6 Pr 3.69
Y 0.0000 0.3333 0.0000 [4 per cell]  6 Pr 3.63, 3 Tb 3.68, 3 Y 3.68

Results
The formation enthalpy at 0 K comes out at 0.011 eV per atom. Its spin magnetization is 0.0 μB per cell.